{
  "formula": "NiGe2F",
  "functional": "PBE with a Hubbard U",
  "state": "optimized geometry",
  "lattice": [[0.000, 2.997, 2.997], [2.997, 0.000, 2.997], [2.997, 2.997, 0.000]],
  "species": ["Ni", "Ge", "Ge", "F"],
  "frac_coords": [[0.000, 0.000, 0.000], [0.250, 0.250, 0.250], [0.750, 0.750, 0.750], [0.500, 0.500, 0.500]],
  "magmom_total_mub_per_cell": 0.00,
  "polymorph_energy_mev_per_atom": 0
}